(1)
A crystal of Fe2Te relaxed with PBEsol, computed with meta-GGA SCAN.

Summary:
DOS at the Fermi energy	2.56	states/eV/cell
raw total energy	-24.0434	eV per atom
formation energy (no corrections)	460	meV/atom

POSCAR file:
```
Fe2Te
1.0
3.1443 0.0000 0.0000
-1.5721 2.7230 0.0000
0.0000 0.0000 5.5011
Fe Te
2 1
Direct
0.6667 0.3333 0.3633
0.3333 0.6667 0.6367
0.0000 0.0000 0.0000
```

(2)
A crystal of LiLa2Br relaxed with PBEsol, computed with meta-GGA SCAN.

Summary:
DOS at the Fermi energy	1.55	states/eV/cell
E above lowest polymorph	0.00	eV per formula unit
raw total energy	-27.6740	eV per atom
formation energy (no corrections)	-659	meV/atom

POSCAR file:
```
LiLa2Br
1.0
3.6436 -0.0115 0.0000
-1.6474 3.2500 0.0000
0.0000 0.0000 9.8805
Li La Br
1 2 1
Direct
0.0000 0.0000 0.4489
0.0000 0.0000 0.0256
0.5000 0.5000 0.7530
0.5000 0.5000 0.2726
```